PmPrNd2Sm5: optimized geometry, GGA-PBE.

The structure in CIF format:
```
data_PmPrNd2Sm5
_chemical_formula_sum 'Pm2 Pr2 Nd4 Sm10'
_symmetry_space_group_name_H-M 'P 1'
_symmetry_Int_Tables_number 1
_cell_length_a 8.8043
_cell_length_b 8.8043
_cell_length_c 10.1567
_cell_angle_alpha 115.68
_cell_angle_beta 115.68
_cell_angle_gamma 90.00
loop_
_symmetry_equiv_pos_as_xyz
'x,y,z'
loop_
_atom_site_label
_atom_site_type_symbol
_atom_site_fract_x
_atom_site_fract_y
_atom_site_fract_z
_atom_site_occupancy
Pm1 Pm 0.2500 0.2500 0.5000 1
Pm2 Pm 0.7500 0.7500 0.5000 1
Pr1 Pr 0.2500 0.7500 0.5000 1
Pr2 Pr 0.7500 0.2500 0.5000 1
Nd1 Nd 0.1194 0.3806 0.0000 1
Nd2 Nd 0.6194 0.1194 0.0000 1
Nd3 Nd 0.3806 0.8806 0.0000 1
Nd4 Nd 0.8806 0.6194 0.0000 1
Sm1 Sm 0.9316 0.4316 0.2767 1
Sm2 Sm 0.6549 0.1549 0.7233 1
Sm3 Sm 0.0684 0.5684 0.7233 1
Sm4 Sm 0.1549 0.0684 0.7233 1
Sm5 Sm 0.5684 0.6549 0.7233 1
Sm6 Sm 0.8451 0.9316 0.2767 1
Sm7 Sm 0.4316 0.3451 0.2767 1
Sm8 Sm 0.3451 0.8451 0.2767 1
Sm9 Sm 0.5000 0.5000 0.0000 1
Sm10 Sm 0.0000 0.0000 0.0000 1
```

Total magnetic moment ... 0.000 μB/cell
Total DFT energy (no corrections) ... -80.85 eV per cell
SG ... I4/mcm
Density ... 7.1 g/cm³
Energy relative to the elements ... 5.73 kcal/mol of atoms